First-principles (PBE) data for crystalline SrCo2Cu2 at its relaxed geometry, as listed in the Alexandria database.

Structure (extended XYZ):
```
5
Lattice="-2.1000 2.1000 4.8319 2.1000 -2.1000 4.8319 2.1000 2.1000 -4.8319" Properties=species:S:1:pos:R:3 pbc="T T T"
Sr 0.0000 0.0000 0.0000
Co 0.0000 0.0000 3.7328
Co 0.0000 0.0000 5.9309
Cu 2.1000 0.0000 2.4159
Cu 0.0000 2.1000 2.4159
```

Total magnetization (μB/f.u.): 2.91
Total DFT energy (no corrections) (eV per atom): -4.52
Energy relative to the lowest polymorph listed for this composition (eV per atom): 0.000

=====

First-principles (PBE) data for crystalline SrCoCu2 at its relaxed geometry, as listed in the Alexandria database.

Structure (extended XYZ):
```
4
Lattice="-1.6288 2.4224 4.5067 1.6288 -2.4224 4.5067 1.6288 2.4224 -4.5067" Properties=species:S:1:pos:R:3 pbc="T T T"
Sr 0.0000 0.0000 0.0000
Co 1.6288 0.0000 2.5731
Cu 0.0000 0.0000 4.4596
Cu 0.0000 2.4224 1.9189
```

Total magnetization (μB/f.u.): 1.23
Total DFT energy (no corrections) (eV per atom): -3.74

=====

First-principles (PBE) data for crystalline SrCoCu at its relaxed geometry, as listed in the Alexandria database.

Structure (extended XYZ):
```
3
Lattice="0.0000 3.2836 3.2836 3.2836 0.0000 3.2836 3.2836 3.2836 0.0000" Properties=species:S:1:pos:R:3 pbc="T T T"
Sr 0.0000 0.0000 0.0000
Co 3.2836 3.2836 3.2836
Cu 4.9254 4.9254 4.9254
```

Total magnetization (μB/f.u.): 1.53
Total DFT energy (no corrections) (eV per atom): -3.63
Energy relative to the lowest polymorph listed for this composition (eV per atom): 0.389

=====

First-principles (PBE) data for crystalline Sr2CoCu at its relaxed geometry, as listed in the Alexandria database.

Structure (extended XYZ):
```
4
Lattice="-2.1952 2.1952 5.3557 2.1952 -2.1952 5.3557 2.1952 2.1952 -5.3557" Properties=species:S:1:pos:R:3 pbc="T T T"
Sr 0.0000 0.0000 0.0000
Sr 0.0000 2.1952 2.6779
Co 2.1952 0.0000 2.6779
Cu 0.0000 0.0000 5.3557
```

Total magnetization (μB/f.u.): 0.91
Total DFT energy (no corrections) (eV per atom): -3.13
Energy relative to the lowest polymorph listed for this composition (eV per atom): 0.334

=====

First-principles (PBE) data for crystalline Sr2CoCu at its relaxed geometry, as listed in the Alexandria database.

Structure (extended XYZ):
```
4
Lattice="-2.0885 2.1202 7.1702 2.0885 -2.1202 7.1702 2.0885 2.1202 -7.1702" Properties=species:S:1:pos:R:3 pbc="T T T"
Sr 0.0000 0.0000 0.0000
Sr 0.0000 2.1202 3.7270
Co 2.0885 0.0000 4.9858
Cu 0.0000 0.0000 6.0148
```

Total magnetization (μB/f.u.): 0.93
Total DFT energy (no corrections) (eV per atom): -3.38
Energy relative to the lowest polymorph listed for this composition (eV per atom): 0.084

=====

First-principles (PBE) data for crystalline SrCoCu at its relaxed geometry, as listed in the Alexandria database.

Structure (extended XYZ):
```
3
Lattice="0.0000 3.5123 3.5123 3.5123 0.0000 3.5123 3.5123 3.5123 0.0000" Properties=species:S:1:pos:R:3 pbc="T T T"
Sr 0.0000 0.0000 0.0000
Co 5.2684 5.2684 5.2684
Cu 1.7561 1.7561 1.7561
```

Total magnetization (μB/f.u.): 1.95
Total DFT energy (no corrections) (eV per atom): -3.14
Energy relative to the lowest polymorph listed for this composition (eV per atom): 0.880

=====

First-principles (PBE) data for crystalline Sr2CoCu at its relaxed geometry, as listed in the Alexandria database.

Structure (extended XYZ):
```
4
Lattice="3.7454 -2.0463 0.0000 3.7454 2.0463 0.0000 -2.2295 0.0000 7.7411" Properties=species:S:1:pos:R:3 pbc="T T T"
Sr 1.3131 0.0000 1.8420
Sr 3.9481 0.0000 5.8991
Co 3.7454 0.0000 0.0000
Cu -1.1147 0.0000 3.8705
```

Total magnetization (μB/f.u.): 0.98
Total DFT energy (no corrections) (eV per atom): -3.15
Energy relative to the lowest polymorph listed for this composition (eV per atom): 0.319

=====

First-principles (PBE) data for crystalline Sr2CoCu at its relaxed geometry, as listed in the Alexandria database.

Structure (extended XYZ):
```
4
Lattice="5.2604 0.0000 0.0000 0.0000 5.2604 0.0000 0.0000 0.0000 3.7085" Properties=species:S:1:pos:R:3 pbc="T T T"
Sr 0.0000 2.6302 0.0000
Sr 2.6302 0.0000 0.0000
Co 0.0000 0.0000 1.8543
Cu 2.6302 2.6302 1.8543
```

Total magnetization (μB/f.u.): 0.74
Total DFT energy (no corrections) (eV per atom): -3.28
Energy relative to the lowest polymorph listed for this composition (eV per atom): 0.184

=====

What is the formula in the fifth record? Sr2CoCu

=====

Among the records above, which one has the highest total DFT energy (no corrections)? number 4